9
Lattice="3.3546 1.9368 8.4391 -3.3546 1.9368 8.4391 0.0000 -3.8736 8.4391" Properties=species:S:1:pos:R:3 comment="NdHo6Cd2 | Alexandria via LeMat-Bulk | PBE | optimized geometry" e_above_lowest_polymorph_ev_per_atom=0.495 sg=R3 vol_a3_per_cell=329.0 crystal_system=trigonal energy_ev_per_atom=-3.4151 ef_kj_per_mol_atoms=35.7 pbc="T T T"
Nd 0.0000 0.0000 0.0000
Ho -1.7854 -0.7705 14.0082
Ho -1.5813 -1.1695 19.6793
Ho 1.5600 -1.1609 14.0082
Ho 0.2254 1.9315 14.0082
Ho -0.2222 1.9541 19.6792
Ho 1.8034 -0.7847 19.6792
Cd 0.0000 0.0000 5.4549
Cd 0.0000 0.0000 11.3131

12
Lattice="6.3809 0.0000 0.0000 0.0000 5.9549 0.0000 0.0000 0.0000 6.3463" Properties=species:S:1:pos:R:3 comment="NaHSe | Alexandria via LeMat-Bulk | PBE | optimized geometry" sg=Pca2_1 vol_a3_per_cell=241.1 crystal_system=orthorhombic energy_ev_per_atom=-3.2856 pbc="T T T"
Na 0.3050 1.4892 0.0000
Na 2.8855 1.4892 3.1732
Na 3.4955 4.4656 0.0000
Na 6.0759 4.4656 3.1732
H 1.1987 4.4492 5.1847
H 1.9917 4.4492 2.0115
H 4.3892 1.5056 5.1847
H 5.1822 1.5056 2.0115
Se 0.1894 4.4678 6.2960
Se 3.0011 4.4678 3.1228
Se 3.3799 1.4871 6.2960
Se 6.1915 1.4871 3.1228

5
Lattice="4.9426 0.0000 0.0000 0.0000 4.9426 0.0000 0.0000 0.0000 5.0025" Properties=species:S:1:pos:R:3 comment="BaHfGePt2 | Alexandria via LeMat-Bulk | PBE | optimized geometry" e_above_lowest_polymorph_ev_per_atom=0.000 sg=P4/mmm vol_a3_per_cell=122.2 crystal_system=tetragonal energy_ev_per_atom=-5.6985 ef_kj_per_mol_atoms=1.6 pbc="T T T"
Ba 0.0000 0.0000 0.0000
Hf 2.4713 2.4713 0.0000
Ge 2.4713 2.4713 2.5012
Pt 0.0000 2.4713 2.5012
Pt 2.4713 0.0000 2.5012